No. 1
! GGA-PBE LiPmPr2Se4, relaxed; values from VASP
&SYSTEM
  ibrav = 0, nat = 8, ntyp = 4
/
ATOMIC_SPECIES
Li 6.94 Li.upf
Pm 145.00 Pm.upf
Pr 140.91 Pr.upf
Se 78.96 Se.upf
CELL_PARAMETERS angstrom
7.260 0.000 0.000
0.000 4.198 0.000
-2.417 0.000 6.849
ATOMIC_POSITIONS angstrom
Li 0.000 0.000 0.000
Pm 3.630 2.099 0.000
Pr -1.209 2.099 3.424
Pr 2.421 0.000 3.424
Se 1.171 2.099 1.621
Se -0.056 0.000 5.214
Se 4.898 0.000 1.635
Se 3.671 2.099 5.228
! Calculated density = 6.0 g/cm3
! Magnetic moment = 0.00 μB per cell
! ΔE_f (raw) = -1.76 eV/atom
! V = 208.73 Å³ per cell


No. 2
! GGA-PBE In5Sb3Au12, relaxed; values from VASP
&SYSTEM
  ibrav = 0, nat = 80, ntyp = 3
/
ATOMIC_SPECIES
In 114.82 In.upf
Sb 121.76 Sb.upf
Au 196.97 Au.upf
CELL_PARAMETERS angstrom
-8.076 8.076 8.076
8.076 -8.076 8.076
8.076 8.076 -8.076
ATOMIC_POSITIONS angstrom
In 0.000 0.000 0.000
In 4.038 4.038 -4.038
In 4.038 -4.038 4.038
In 8.076 0.000 0.000
In 12.114 2.019 0.000
In 8.076 -4.038 6.057
In 6.057 8.076 -4.038
In 6.057 0.000 4.038
In 4.038 6.057 0.000
In 8.076 4.038 2.019
In -4.038 4.038 4.038
In 0.000 8.076 0.000
In 0.000 0.000 8.076
In 4.038 4.038 4.038
In 0.000 4.038 6.057
In 4.038 2.019 8.076
In 2.019 8.076 4.038
In 2.019 0.000 12.114
In 0.000 12.114 2.019
In -4.038 6.057 8.076
Sb 4.038 2.019 0.000
Sb 8.076 4.038 -2.019
Sb 2.019 0.000 4.038
Sb 10.095 0.000 4.038
Sb 0.000 4.038 2.019
Sb 4.038 -2.019 8.076
Sb 4.038 10.095 0.000
Sb 8.076 4.038 6.057
Sb -2.019 8.076 4.038
Sb 6.057 8.076 4.038
Sb 0.000 4.038 10.095
Sb 4.038 6.057 8.076
Au 2.457 -0.169 1.272
Au 9.657 5.310 -4.207
Au 7.907 -1.272 2.457
Au 12.284 -1.581 2.766
Au 10.533 0.169 1.272
Au 9.657 -2.766 4.207
Au 1.272 2.457 -0.169
Au 10.842 3.869 -1.581
Au 5.310 4.207 -1.581
Au 6.804 2.457 0.169
Au -0.169 1.272 2.457
Au 4.207 -1.581 5.310
Au 7.907 6.804 -2.457
Au 4.207 1.581 2.766
Au 6.804 -2.457 7.907
Au 5.310 -4.207 9.657
Au 2.766 4.207 1.581
Au 9.348 5.619 0.169
Au 2.457 7.907 -1.272
Au 9.657 2.766 3.869
Au 4.207 9.657 -2.766
Au 7.907 1.272 5.619
Au 1.581 2.766 4.207
Au 2.457 0.169 6.804
Au 5.619 7.907 1.272
Au 6.495 5.310 3.869
Au 0.169 6.804 2.457
Au 3.869 -1.581 10.842
Au -1.581 5.310 4.207
Au 5.619 0.169 9.348
Au -1.272 2.457 7.907
Au 5.310 3.869 6.495
Au 2.766 12.284 -1.581
Au 1.272 10.533 0.169
Au 3.869 6.495 5.310
Au 0.169 1.272 10.533
Au 3.869 9.657 2.766
Au 8.246 6.804 5.619
Au 1.272 5.619 7.907
Au 2.766 3.869 9.657
Au -2.766 4.207 9.657
Au 6.804 5.619 8.246
Au -1.581 10.842 3.869
Au -2.457 7.907 6.804
Au -4.207 9.657 5.310
Au 0.169 9.348 5.619
Au -1.581 2.766 12.284
Au 5.619 8.246 6.804
! Calculated density = 10.4 g/cm3
! Magnetic moment = 0.00 μB per cell
! ΔE_f (raw) = 0.07 eV/atom
! V = 2107.05 Å³ per cell


No. 3
! GGA-PBE Er2TiTe, relaxed; values from VASP
&SYSTEM
  ibrav = 0, nat = 4, ntyp = 3
/
ATOMIC_SPECIES
Er 167.26 Er.upf
Ti 47.87 Ti.upf
Te 127.60 Te.upf
CELL_PARAMETERS angstrom
1.822 1.052 10.154
-1.822 1.052 10.154
0.000 -2.103 10.154
ATOMIC_POSITIONS angstrom
Er 0.000 0.000 2.928
Er 0.000 0.000 27.533
Ti 0.000 0.000 0.000
Te 0.000 0.000 15.230
! Calculated density = 7.3 g/cm3
! Magnetic moment = 1.80 μB per cell
! ΔE_f (raw) = 0.13 eV/atom
! V = 116.72 Å³ per cell


No. 4
! GGA-PBE CsKTlHg2, relaxed; values from VASP
&SYSTEM
  ibrav = 0, nat = 5, ntyp = 4
/
ATOMIC_SPECIES
Cs 132.91 Cs.upf
K 39.10 K.upf
Tl 204.38 Tl.upf
Hg 200.59 Hg.upf
CELL_PARAMETERS angstrom
6.395 0.000 0.000
0.000 6.395 0.000
0.000 0.000 6.582
ATOMIC_POSITIONS angstrom
Cs 0.000 0.000 0.000
K 3.197 3.197 3.291
Tl 3.197 3.197 0.000
Hg 0.000 3.197 3.291
Hg 3.197 0.000 3.291
! Calculated density = 4.8 g/cm3
! Magnetic moment = 0.00 μB per cell
! DFT formation energy = 0.099 eV/atom
! V = 269.19 Å³ per cell
! Energy above the most stable polymorph in this dataset = 149.9 meV per atom